Entry 1
Material: MnGeP2O
Method: DFT, GGA+U
State: optimized geometry

```
data_MnGeP2O
_chemical_formula_sum 'Mn1 Ge1 P2 O1'
_cell_length_a 4.9434
_cell_length_b 4.9434
_cell_length_c 3.5399
_cell_angle_alpha 90.00
_cell_angle_beta 90.00
_cell_angle_gamma 90.00
_space_group_name_H-M_alt 'P 4/m m m'
_space_group_IT_number 123
_space_group_name_Hall '-P 4 2'
loop_
_atom_site_label
_atom_site_type_symbol
_atom_site_fract_x
_atom_site_fract_y
_atom_site_fract_z
Mn1 Mn 0.0000 0.0000 0.0000
Ge1 Ge 0.5000 0.5000 0.5000
P1 P 0.0000 0.5000 0.5000
O1 O 0.5000 0.5000 0.0000
```

Magnetic moment ... 4.3 Bohr magnetons per cell
Volume ... 17.301 A^3/atom
Theoretical density ... 3945 kg/m3

***

Entry 2
Material: MnGeP2O
Method: DFT, GGA+U
State: optimized geometry

```
data_MnGeP2O
_chemical_formula_sum 'Mn1 Ge1 P2 O1'
_cell_length_a 4.6495
_cell_length_b 4.6495
_cell_length_c 3.4127
_cell_angle_alpha 90.00
_cell_angle_beta 90.00
_cell_angle_gamma 90.00
_space_group_name_H-M_alt 'P 4/m m m'
_space_group_IT_number 123
_space_group_name_Hall '-P 4 2'
loop_
_atom_site_label
_atom_site_type_symbol
_atom_site_fract_x
_atom_site_fract_y
_atom_site_fract_z
Mn1 Mn 0.0000 0.0000 0.0000
Ge1 Ge 0.5000 0.5000 0.5000
P1 P 0.0000 0.5000 0.0000
O1 O 0.0000 0.0000 0.5000
```

Magnetic moment ... 0.0 Bohr magnetons per cell
Volume ... 14.755 A^3/atom
Theoretical density ... 4626 kg/m3

***

Stability ranking, top and bottom: entry 1 is the most stable and entry 2 is the least stable.